[1]
Material: LiZrAl
Method: DFT, GGA-PBE
State: relaxed

Cell lengths 6.473, 6.473, 6.473 Å; angles 90.00, 90.00, 90.00 degrees
Space group F-43m (No. 216)
Symmetry-distinct sites (fractional):
Li  0.000  0.000  0.000 [4 per cell]
Zr  0.250  0.250  0.750 [4 per cell]
Al  0.000  0.000  0.500 [4 per cell]

Properties
Energy relative to the lowest polymorph listed for this composition   7.38 kcal/mol of atoms

[2]
Material: Lu5Al3
Method: DFT, GGA-PBE
State: relaxed

Cell lengths 8.6603, 8.6603, 6.2175 Å; angles 90.00, 90.00, 120.00 degrees
Space group P6_3/mcm (No. 193)
Symmetry-distinct sites (fractional):
Lu  0.0000  0.2404  0.2500 [6 per cell]
Lu  0.3333  0.6667  0.0000 [4 per cell]
Al  0.0000  0.4022  0.7500 [6 per cell]

[3]
Material: Lu3Al2
Method: DFT, GGA-PBE
State: relaxed

Cell lengths 8.046, 8.046, 7.450 Å; angles 90.00, 90.00, 90.00 degrees
Space group P4_2/mnm (No. 136)
Symmetry-distinct sites (fractional):
Lu  0.000  0.500  0.250 [4 per cell]
Lu  0.149  0.149  0.000 [4 per cell]
Lu  0.204  0.204  0.500 [4 per cell]
Al  0.120  0.880  0.304 [8 per cell]

Properties
Energy relative to the lowest polymorph listed for this composition   0.00 kcal/mol of atoms

[4]
Material: Lu3Al2
Method: DFT, GGA-PBE
State: relaxed

Cell lengths 6.0502, 6.0502, 26.4097 Å; angles 90.00, 90.00, 120.00 degrees
Space group R-3c (No. 167, hexagonal axes)
Symmetry-distinct sites (fractional):
Lu  0.0000  0.3276  0.2500 [18 per cell]
Al  0.0000  0.0000  0.1652 [12 per cell]

Properties
Energy relative to the lowest polymorph listed for this composition   9.03 kcal/mol of atoms

[5]
Material: LuMg2Al
Method: DFT, GGA-PBE
State: relaxed

Cell lengths 7.043, 7.043, 7.043 Å; angles 90.00, 90.00, 90.00 degrees
Space group F-43m (No. 216)
Symmetry-distinct sites (fractional):
Lu  0.000  0.000  0.000 [4 per cell]
Mg  0.000  0.000  0.500 [4 per cell]
Mg  0.250  0.250  0.250 [4 per cell]
Al  0.250  0.250  0.750 [4 per cell]

[6]
Material: Lu2MgAl
Method: DFT, GGA-PBE
State: relaxed

Cell lengths 4.8644, 4.8644, 9.6760 Å; angles 90.00, 90.00, 120.00 degrees
Space group P6_3/mmc (No. 194)
Symmetry-distinct sites (fractional):
Lu  0.3333  0.6667  0.0868 [4 per cell]
Mg  0.0000  0.0000  0.2500 [2 per cell]
Al  0.3333  0.6667  0.7500 [2 per cell]

Properties
Energy relative to the lowest polymorph listed for this composition   0.00 kcal/mol of atoms

[7]
Material: Lu2MgAl
Method: DFT, GGA-PBE
State: relaxed

Cell lengths 7.279, 7.279, 7.279 Å; angles 90.00, 90.00, 90.00 degrees
Space group F-43m (No. 216)
Symmetry-distinct sites (fractional):
Lu  0.000  0.000  0.000 [4 per cell]
Lu  0.250  0.250  0.250 [4 per cell]
Mg  0.250  0.250  0.750 [4 per cell]
Al  0.000  0.000  0.500 [4 per cell]

Properties
Energy relative to the lowest polymorph listed for this composition   1.65 kcal/mol of atoms

[8]
Material: Lu2MgAl
Method: DFT, GGA-PBE
State: relaxed

Cell lengths 5.0056, 5.0056, 10.2337 Å; angles 90.00, 90.00, 120.00 degrees
Space group P6_3/mmc (No. 194)
Symmetry-distinct sites (fractional):
Lu  0.3333  0.6667  0.0832 [4 per cell]
Mg  0.3333  0.6667  0.7500 [2 per cell]
Al  0.0000  0.0000  0.0000 [2 per cell]

Properties
Energy relative to the lowest polymorph listed for this composition   3.85 kcal/mol of atoms

[9]
Material: Lu2MgAl
Method: DFT, GGA-PBE
State: relaxed

Cell lengths 5.1784, 5.1784, 9.3093 Å; angles 90.00, 90.00, 120.00 degrees
Space group P6_3/mmc (No. 194)
Symmetry-distinct sites (fractional):
Lu  0.3333  0.6667  0.0813 [4 per cell]
Mg  0.0000  0.0000  0.0000 [2 per cell]
Al  0.3333  0.6667  0.7500 [2 per cell]

Properties
Energy relative to the lowest polymorph listed for this composition   5.46 kcal/mol of atoms

[10]
Material: LuMgAl
Method: DFT, GGA-PBE
State: relaxed

Cell lengths 6.943, 6.943, 6.943 Å; angles 90.00, 90.00, 90.00 degrees
Space group F-43m (No. 216)
Symmetry-distinct sites (fractional):
Lu  0.000  0.000  0.000 [4 per cell]
Mg  0.250  0.250  0.250 [4 per cell]
Al  0.250  0.250  0.750 [4 per cell]

[11]
Material: LuMgAl
Method: DFT, GGA-PBE
State: relaxed

Cell lengths 6.786, 6.786, 6.786 Å; angles 90.00, 90.00, 90.00 degrees
Space group F-43m (No. 216)
Symmetry-distinct sites (fractional):
Lu  0.000  0.000  0.000 [4 per cell]
Mg  0.000  0.000  0.500 [4 per cell]
Al  0.250  0.250  0.250 [4 per cell]

[12]
Material: LuMgAlNi
Method: DFT, GGA-PBE
State: relaxed

Cell lengths 6.518, 6.518, 6.518 Å; angles 90.00, 90.00, 90.00 degrees
Space group F-43m (No. 216)
Symmetry-distinct sites (fractional):
Lu  0.000  0.000  0.000 [4 per cell]
Mg  0.250  0.250  0.250 [4 per cell]
Al  0.000  0.000  0.500 [4 per cell]
Ni  0.250  0.250  0.750 [4 per cell]

Properties
Energy relative to the lowest polymorph listed for this composition   0.00 kcal/mol of atoms

[13]
Material: LuMgAlNi
Method: DFT, GGA-PBE
State: relaxed

Cell lengths 6.546, 6.546, 6.546 Å; angles 90.00, 90.00, 90.00 degrees
Space group F-43m (No. 216)
Symmetry-distinct sites (fractional):
Lu  0.000  0.000  0.000 [4 per cell]
Mg  0.250  0.250  0.750 [4 per cell]
Al  0.250  0.250  0.250 [4 per cell]
Ni  0.000  0.000  0.500 [4 per cell]

Properties
Energy relative to the lowest polymorph listed for this composition   2.97 kcal/mol of atoms

[14]
Material: LuMgAlNi
Method: DFT, GGA-PBE
State: relaxed

Cell lengths 6.613, 6.613, 6.613 Å; angles 90.00, 90.00, 90.00 degrees
Space group F-43m (No. 216)
Symmetry-distinct sites (fractional):
Lu  0.000  0.000  0.000 [4 per cell]
Mg  0.000  0.000  0.500 [4 per cell]
Al  0.250  0.250  0.250 [4 per cell]
Ni  0.250  0.250  0.750 [4 per cell]

Properties
Energy relative to the lowest polymorph listed for this composition   0.43 kcal/mol of atoms

[15]
Material: LuMgAlPt
Method: DFT, GGA-PBE
State: relaxed

Cell lengths 6.594, 6.594, 6.594 Å; angles 90.00, 90.00, 90.00 degrees
Space group F-43m (No. 216)
Symmetry-distinct sites (fractional):
Lu  0.000  0.000  0.000 [4 per cell]
Mg  0.250  0.250  0.250 [4 per cell]
Al  0.250  0.250  0.750 [4 per cell]
Pt  0.000  0.000  0.500 [4 per cell]

Properties
Energy relative to the lowest polymorph listed for this composition   2.74 kcal/mol of atoms

[16]
Material: LuMgAlPt
Method: DFT, GGA-PBE
State: relaxed

Cell lengths 6.711, 6.711, 6.711 Å; angles 90.00, 90.00, 90.00 degrees
Space group F-43m (No. 216)
Symmetry-distinct sites (fractional):
Lu  0.000  0.000  0.000 [4 per cell]
Mg  0.000  0.000  0.500 [4 per cell]
Al  0.250  0.250  0.250 [4 per cell]
Pt  0.250  0.250  0.750 [4 per cell]

Properties
Energy relative to the lowest polymorph listed for this composition   0.62 kcal/mol of atoms

[17]
Material: LuMgAlPt
Method: DFT, GGA-PBE
State: relaxed

Cell lengths 6.613, 6.613, 6.613 Å; angles 90.00, 90.00, 90.00 degrees
Space group F-43m (No. 216)
Symmetry-distinct sites (fractional):
Lu  0.000  0.000  0.000 [4 per cell]
Mg  0.250  0.250  0.250 [4 per cell]
Al  0.000  0.000  0.500 [4 per cell]
Pt  0.250  0.250  0.750 [4 per cell]

Properties
Energy relative to the lowest polymorph listed for this composition   0.00 kcal/mol of atoms

[18]
Material: Lu2AlMo
Method: DFT, GGA-PBE
State: relaxed

Cell lengths 6.884, 6.884, 6.884 Å; angles 90.00, 90.00, 90.00 degrees
Space group F-43m (No. 216)
Symmetry-distinct sites (fractional):
Lu  0.000  0.000  0.000 [4 per cell]
Lu  0.250  0.250  0.250 [4 per cell]
Al  0.000  0.000  0.500 [4 per cell]
Mo  0.250  0.250  0.750 [4 per cell]

[19]
Material: Lu2Al3Mo4N3
Method: DFT, GGA-PBE
State: relaxed

Cell lengths 9.460, 5.487, 13.678 Å; angles 90.00, 103.40, 90.00 degrees
Space group C2/c (No. 15)
Symmetry-distinct sites (fractional):
Lu  0.045  0.083  0.388 [8 per cell]
Al  0.000  0.429  0.750 [4 per cell]
Al  0.243  0.158  0.750 [8 per cell]
Mo  0.111  0.426  0.576 [8 per cell]
Mo  0.219  0.413  0.923 [8 per cell]
N  0.078  0.233  0.000 [8 per cell]
N  0.250  0.250  0.500 [4 per cell]

[20]
Material: Lu4Al3Mo2N3
Method: DFT, GGA-PBE
State: relaxed

Cell lengths 9.780, 5.695, 14.160 Å; angles 90.00, 103.04, 90.00 degrees
Space group C2/c (No. 15)
Symmetry-distinct sites (fractional):
Lu  0.115  0.083  0.096 [8 per cell]
Lu  0.218  0.084  0.404 [8 per cell]
Al  0.000  0.149  0.750 [4 per cell]
Al  0.135  0.449  0.250 [8 per cell]
Mo  0.059  0.416  0.923 [8 per cell]
N  0.084  0.250  0.500 [8 per cell]
N  0.250  0.250  0.000 [4 per cell]

[21]
Material: LuAlNiMo
Method: DFT, GGA-PBE
State: relaxed

Cell lengths 6.488, 6.488, 6.488 Å; angles 90.00, 90.00, 90.00 degrees
Space group F-43m (No. 216)
Symmetry-distinct sites (fractional):
Lu  0.000  0.000  0.000 [4 per cell]
Al  0.250  0.250  0.250 [4 per cell]
Ni  0.000  0.000  0.500 [4 per cell]
Mo  0.250  0.250  0.750 [4 per cell]

Properties
Energy relative to the lowest polymorph listed for this composition   7.06 kcal/mol of atoms

[22]
Material: LuAlNiMo
Method: DFT, GGA-PBE
State: relaxed

Cell lengths 6.368, 6.368, 6.368 Å; angles 90.00, 90.00, 90.00 degrees
Space group F-43m (No. 216)
Symmetry-distinct sites (fractional):
Lu  0.000  0.000  0.000 [4 per cell]
Al  0.000  0.000  0.500 [4 per cell]
Ni  0.250  0.250  0.750 [4 per cell]
Mo  0.250  0.250  0.250 [4 per cell]

Properties
Energy relative to the lowest polymorph listed for this composition   0.00 kcal/mol of atoms

[23]
Material: Lu4AlN3
Method: DFT, GGA-PBE
State: relaxed

Cell lengths 3.3585, 3.3585, 25.9152 Å; angles 90.00, 90.00, 120.00 degrees
Space group P6_3/mmc (No. 194)
Symmetry-distinct sites (fractional):
Lu  0.0000  0.0000  0.1550 [4 per cell]
Lu  0.3333  0.6667  0.0515 [4 per cell]
Al  0.3333  0.6667  0.2500 [2 per cell]
N  0.0000  0.0000  0.0000 [2 per cell]
N  0.3333  0.6667  0.6076 [4 per cell]

[24]
Material: Lu4AlPbN2
Method: DFT, GGA-PBE
State: relaxed

Cell lengths 3.4286, 3.4286, 15.0459 Å; angles 90.00, 90.00, 120.00 degrees
Space group P-6m2 (No. 187)
Symmetry-distinct sites (fractional):
Lu  0.0000  0.0000  0.1590 [2 per cell]
Lu  0.6667  0.3333  0.3301 [2 per cell]
Al  0.6667  0.3333  0.0000 [1 per cell]
Pb  0.0000  0.0000  0.5000 [1 per cell]
N  0.3333  0.6667  0.2489 [2 per cell]

It is found that the energy values, taken in the order of the records, are -49.61, -72.10, -90.76, -124.40, -47.51, -28.99, -56.84, -27.66, -27.10, -34.03, -39.68, -65.97, -63.90, -65.67, -72.76, -74.23, -74.66, -92.52, -385.37, -344.18, -93.85, -98.75, -117.03, -50.68 eV/cell.